RbHfSc2Ru, optimized geometry, DFT PBE; energy of formation from the pure elements = 9.5 eV per formula unit; size of the total moment = 2.09 μB/f.u.; raw total energy = -4.674 eV/atom; space-group type = P4/mmm (123)
1.0
5.1962 0.0000 0.0000
0.0000 5.7544 0.0000
0.0000 0.0000 5.1962
Sc Hf Ru Rb
2 1 1 1
Direct
0.5000 0.0000 0.0000
0.0000 0.0000 0.5000
0.0000 0.0000 0.0000
0.5000 0.5000 0.5000
0.0000 0.5000 0.0000

---

RbHfTc2Ru, optimized geometry, DFT PBE; energy of formation from the pure elements = 15.0 eV per formula unit; size of the total moment = 0.00 μB/f.u.; raw total energy = -5.178 eV/atom; space-group type = P4/mmm (123)
1.0
4.5473 0.0000 0.0000
0.0000 4.8437 0.0000
0.0000 0.0000 4.5473
Tc Ru Rb Hf
2 1 1 1
Direct
0.0000 0.0000 0.5000
0.5000 0.0000 0.0000
0.5000 0.5000 0.5000
0.0000 0.0000 0.0000
0.0000 0.5000 0.0000

---

RbHf4S8, optimized geometry, DFT PBE; relative energy among the computed polymorphs = 0 meV/atom; size of the total moment = 0.00 μB/f.u.; raw total energy = -7.308 eV/atom; space-group type = R-3m (166)
1.0
6.5958 0.0000 3.0079
2.6120 6.0565 3.0079
-0.2704 -0.1779 9.3285
Hf S Rb
4 8 1
Direct
0.5000 0.0000 0.0000
0.0000 0.0000 0.0000
0.5000 0.5000 0.0000
0.0000 0.5000 0.0000
0.2251 0.7268 0.8229
0.2732 0.7749 0.1771
0.2747 0.2747 0.1759
0.7268 0.2251 0.8229
0.7749 0.2732 0.1771
0.7253 0.7253 0.8241
0.2251 0.2251 0.8229
0.7749 0.7749 0.1771
0.5000 0.5000 0.5000

---

Rb4HfS4, optimized geometry, DFT PBE; size of the total moment = 0.00 μB/f.u.; raw total energy = -4.718 eV/atom; space-group type = I-42m (121)
1.0
-4.5177 -5.1276 -0.9815
7.5733 -1.4482 -3.0115
3.8933 -4.1737 3.8842
Rb Hf S
4 1 4
Direct
0.1617 0.7121 0.4496
0.5504 0.7121 0.8383
0.4496 0.2879 0.5504
0.8383 0.2879 0.1617
0.0000 0.0000 0.0000
0.3046 0.2101 0.0946
0.9054 0.2101 0.6954
0.6954 0.7899 0.3046
0.0946 0.7899 0.9054

---

Rb5HfS5, optimized geometry, DFT PBE; size of the total moment = 1.11 μB/f.u.; raw total energy = -4.275 eV/atom; space-group type = C2/m (12)
1.0
-1.8719 5.6935 1.2489
-4.9731 -3.8046 -5.1147
-2.1392 -2.5070 8.2227
S Rb Hf
5 5 1
Direct
0.1238 0.2476 0.8664
0.5000 0.0000 0.0000
0.1295 0.2591 0.2715
0.8762 0.7524 0.1336
0.8705 0.7409 0.7285
0.3048 0.6096 0.6976
0.6722 0.3444 0.8453
0.3278 0.6556 0.1547
0.6952 0.3904 0.3024
0.0000 0.0000 0.5000
0.0000 0.0000 0.0000

---

Rb5HfS4, optimized geometry, DFT PBE; size of the total moment = 0.56 μB/f.u.; raw total energy = -4.313 eV/atom; space-group type = Pmmn (59)
1.0
9.8462 0.0000 0.0000
0.0000 7.7777 0.0000
0.0000 0.0000 10.6606
Rb S Hf
10 8 2
Direct
0.2548 0.7335 0.1865
0.7548 0.2665 0.6865
0.2452 0.2665 0.6865
0.2548 0.7335 0.8135
0.7452 0.7335 0.1865
0.2452 0.2665 0.3135
0.5000 0.1637 0.0000
0.7452 0.7335 0.8135
0.0000 0.8363 0.5000
0.7548 0.2665 0.3135
0.7010 0.6316 0.5000
0.2010 0.3684 0.0000
0.7990 0.3684 0.0000
0.0000 0.0173 0.8120
0.0000 0.0173 0.1880
0.5000 0.9827 0.6880
0.5000 0.9827 0.3120
0.2990 0.6316 0.5000
0.0000 0.1907 0.0000
0.5000 0.8093 0.5000